P.
The following is a PBE calculation of a relaxed Ag2PbI crystal, from Alexandria via LeMat-Bulk.

Values from the calculation:
The density of states at the Fermi level is 1.723 states/eV per cell. The total moment comes out at 0.00 μB/cell.

a = 3.746 Å, b = 3.746 Å, c = 7.519 Å
α = 90.00°, β = 90.52°, γ = 90.00°
Space group Pm (No. 6)
Symmetry-distinct sites (fractional):
Ag1 0.000 0.000 0.000 x1
Ag2 0.498 0.500 0.830 x1
Pb1 0.992 0.000 0.591 x1
I1 0.489 0.500 0.245 x1

---

Q.
The following is a PBE calculation of a relaxed Ag2PbI crystal, from Alexandria via LeMat-Bulk.

Values from the calculation:
The density of states at the Fermi level is 2.155 states/eV per cell. The total moment comes out at 0.00 μB/cell.

a = 5.770 Å, b = 5.836 Å, c = 7.540 Å
α = 89.37°, β = 67.60°, γ = 89.84°
Space group P1 (No. 1)
Symmetry-distinct sites (fractional):
Ag1 0.000 0.000 0.000 x1
Ag2 0.085 0.878 0.340 x1
Ag3 0.506 0.000 0.999 x1
Ag4 0.630 0.676 0.248 x1
Pb1 0.169 0.427 0.164 x1
Pb2 0.572 0.177 0.360 x1
I1 0.376 0.676 0.753 x1
I2 0.926 0.195 0.652 x1

---

The data favor Q; the next most stable structure lies 3.9 kJ/mol of atoms above it.